Below is a relaxed La4Hf crystal, with properties calculated at the GGA-PBE level.

Cell and atoms, written as POSCAR:
```
La4Hf
1.0
5.845 0.000 0.000
0.000 5.845 0.000
0.000 0.000 5.845
La Hf
4 1
direct
0.000 0.000 0.000
0.000 0.500 0.500
0.500 0.000 0.500
0.500 0.500 0.000
0.500 0.500 0.500
```

Results
Calculated formation energy ... 0.53 eV/atom
Calculated density ... 6.10 g/cm³
Raw total energy ... -5.406 eV per atom